# 1
Below is a relaxed structure of Pu2CoRe, with properties calculated at the GGA-PBE level.

```
data_Pu2CoRe
_chemical_formula_sum 'Pu2 Co1 Re1'
_symmetry_space_group_name_H-M 'P 4/m m m'
_symmetry_Int_Tables_number 123
_symmetry_space_group_name_Hall '-P 4 2'
_cell_length_a 3.3101
_cell_length_b 3.3101
_cell_length_c 6.7943
_cell_angle_alpha 90.00
_cell_angle_beta 90.00
_cell_angle_gamma 90.00
loop_
_atom_site_label
_atom_site_type_symbol
_atom_site_fract_x
_atom_site_fract_y
_atom_site_fract_z
_atom_site_occupancy
Pu1 Pu 0.0000 0.0000 0.2412 1
Co1 Co 0.5000 0.5000 0.0000 1
Re1 Re 0.5000 0.5000 0.5000 1
```

## Properties
Energy relative to the elements: 0.15 eV per atom
E above lowest polymorph: 0.0 meV per atom



# 2
Below is a relaxed structure of MgS2Br, with properties calculated at the GGA-PBE level.

```
data_MgS2Br
_chemical_formula_sum 'Mg3 S6 Br3'
_symmetry_space_group_name_H-M 'R -3 m'
_symmetry_Int_Tables_number 166
_symmetry_space_group_name_Hall '-R 3 2"'
_cell_length_a 3.8772
_cell_length_b 3.8772
_cell_length_c 22.2872
_cell_angle_alpha 90.00
_cell_angle_beta 90.00
_cell_angle_gamma 120.00
loop_
_atom_site_label
_atom_site_type_symbol
_atom_site_fract_x
_atom_site_fract_y
_atom_site_fract_z
_atom_site_occupancy
Mg1 Mg 0.0000 0.0000 0.0000 1
S1 S 0.0000 0.0000 0.3915 1
Br1 Br 0.0000 0.0000 0.5000 1
```

## Properties
Formation energy without anion corrections: -40.28 kJ per mole of atoms
E above lowest polymorph: 166.7 meV per atom



# 3
Below is a relaxed structure of Ac2InAuO6, with properties calculated at the GGA-PBE level.

```
data_Ac2InAuO6
_chemical_formula_sum 'Ac2 In1 Au1 O6'
_symmetry_space_group_name_H-M 'P 4 m m'
_symmetry_Int_Tables_number 99
_cell_length_a 5.5924
_cell_length_b 5.5924
_cell_length_c 5.3906
_cell_angle_alpha 90.00
_cell_angle_beta 90.00
_cell_angle_gamma 90.00
loop_
_symmetry_equiv_pos_as_xyz
'x,y,z'
'-y,x,z'
'-x,-y,z'
'y,-x,z'
'-x,y,z'
'y,x,z'
'x,-y,z'
'-y,-x,z'
loop_
_atom_site_label
_atom_site_type_symbol
_atom_site_fract_x
_atom_site_fract_y
_atom_site_fract_z
_atom_site_occupancy
Ac1 Ac 0.0000 0.5000 0.0000 1
In1 In 0.0000 0.0000 0.5296 1
Au1 Au 0.5000 0.5000 0.6309 1
O1 O 0.0000 0.0000 0.1463 1
O2 O 0.2438 0.2438 0.7001 1
O3 O 0.5000 0.5000 0.1295 1
```

## Properties
Formation energy without anion corrections: -184.23 kJ per mole of atoms



# 4
Below is a relaxed structure of Dy6Al3Cd, with properties calculated at the GGA-PBE level.

```
data_Dy6Al3Cd
_chemical_formula_sum 'Dy12 Al6 Cd2'
_symmetry_space_group_name_H-M 'P 1 21/m 1'
_symmetry_Int_Tables_number 11
_cell_length_a 9.1971
_cell_length_b 5.1399
_cell_length_c 11.3366
_cell_angle_alpha 90.00
_cell_angle_beta 107.87
_cell_angle_gamma 90.00
loop_
_symmetry_equiv_pos_as_xyz
'x,y,z'
'-x,-y,-z'
'-x,y+1/2,-z'
'x,-y+1/2,z'
loop_
_atom_site_label
_atom_site_type_symbol
_atom_site_fract_x
_atom_site_fract_y
_atom_site_fract_z
_atom_site_occupancy
Dy1 Dy 0.0447 0.2500 0.4145 1
Dy2 Dy 0.1567 0.7500 0.1771 1
Dy3 Dy 0.2364 0.2500 0.9962 1
Dy4 Dy 0.3247 0.7500 0.7939 1
Dy5 Dy 0.3718 0.2500 0.3419 1
Dy6 Dy 0.3969 0.2500 0.6227 1
Al1 Al 0.0327 0.7500 0.8783 1
Al2 Al 0.1155 0.2500 0.7125 1
Al3 Al 0.2736 0.7500 0.4724 1
Cd1 Cd 0.4580 0.7500 0.0918 1
```

## Properties
Energy relative to the elements: -0.28 eV per atom



# 5
Below is a relaxed structure of DyPa2Se6, with properties calculated at the GGA-PBE level.

```
data_DyPa2Se6
_chemical_formula_sum 'Dy2 Pa4 Se12'
_symmetry_space_group_name_H-M 'P 42/m n m'
_symmetry_Int_Tables_number 136
_symmetry_space_group_name_Hall '-P 4n 2n'
_cell_length_a 6.6818
_cell_length_b 6.6818
_cell_length_c 12.6848
_cell_angle_alpha 90.00
_cell_angle_beta 90.00
_cell_angle_gamma 90.00
loop_
_atom_site_label
_atom_site_type_symbol
_atom_site_fract_x
_atom_site_fract_y
_atom_site_fract_z
_atom_site_occupancy
Dy1 Dy 0.0000 0.0000 0.0000 1
Pa1 Pa 0.0000 0.0000 0.3331 1
Se1 Se 0.1944 0.1944 0.5000 1
Se2 Se 0.1993 0.1993 0.1691 1
```

## Properties
Formation energy without anion corrections: -135.09 kJ per mole of atoms
E above lowest polymorph: 77.2 meV per atom



# 6
Below is a relaxed structure of MnFe3, with properties calculated at the GGA-PBE level.

```
data_MnFe3
_chemical_formula_sum 'Mn1 Fe3'
_symmetry_space_group_name_H-M 'P -6 m 2'
_symmetry_Int_Tables_number 187
_symmetry_space_group_name_Hall 'P -6 2'
_cell_length_a 2.4682
_cell_length_b 2.4682
_cell_length_c 7.8290
_cell_angle_alpha 90.00
_cell_angle_beta 90.00
_cell_angle_gamma 120.00
loop_
_atom_site_label
_atom_site_type_symbol
_atom_site_fract_x
_atom_site_fract_y
_atom_site_fract_z
_atom_site_occupancy
Mn1 Mn 0.0000 0.0000 0.0000 1
Fe1 Fe 0.0000 0.0000 0.5000 1
Fe2 Fe 0.3333 0.6667 0.2507 1
```

## Properties
Energy relative to the elements: 0.06 eV per atom



# 7
Below is a relaxed structure of ErAl8Fe4, with properties calculated at the GGA-PBE level.

```
data_ErAl8Fe4
_chemical_formula_sum 'Er2 Al16 Fe8'
_symmetry_space_group_name_H-M 'I 4/m m m'
_symmetry_Int_Tables_number 139
_symmetry_space_group_name_Hall '-I 4 2'
_cell_length_a 8.6743
_cell_length_b 8.6743
_cell_length_c 5.0148
_cell_angle_alpha 90.00
_cell_angle_beta 90.00
_cell_angle_gamma 90.00
loop_
_atom_site_label
_atom_site_type_symbol
_atom_site_fract_x
_atom_site_fract_y
_atom_site_fract_z
_atom_site_occupancy
Er1 Er 0.0000 0.0000 0.0000 1
Al1 Al 0.0000 0.2201 0.5000 1
Al2 Al 0.0000 0.3398 0.0000 1
Fe1 Fe 0.2500 0.2500 0.2500 1
```

## Properties
Energy relative to the elements: -0.43 eV per atom



# 8
Below is a relaxed structure of NaAgSn4, with properties calculated at the GGA-PBE level.

```
data_NaAgSn4
_chemical_formula_sum 'Na2 Ag2 Sn8'
_symmetry_space_group_name_H-M 'P -1'
_symmetry_Int_Tables_number 2
_cell_length_a 4.4693
_cell_length_b 7.8999
_cell_length_c 10.0730
_cell_angle_alpha 97.46
_cell_angle_beta 102.63
_cell_angle_gamma 90.79
loop_
_symmetry_equiv_pos_as_xyz
'x,y,z'
'-x,-y,-z'
loop_
_atom_site_label
_atom_site_type_symbol
_atom_site_fract_x
_atom_site_fract_y
_atom_site_fract_z
_atom_site_occupancy
Na1 Na 0.2495 0.2501 0.9998 1
Ag1 Ag 0.0000 0.5000 0.5000 1
Ag2 Ag 0.5000 0.0000 0.5000 1
Sn1 Sn 0.0664 0.8526 0.6502 1
Sn2 Sn 0.1442 0.5466 0.7983 1
Sn3 Sn 0.3563 0.9537 0.2017 1
Sn4 Sn 0.4330 0.6474 0.3494 1
```

## Properties
Energy relative to the elements: -0.01 eV per atom



# 9
Below is a relaxed structure of Ac2InAu10, with properties calculated at the GGA-PBE level.

```
data_Ac2InAu10
_chemical_formula_sum 'Ac4 In2 Au20'
_symmetry_space_group_name_H-M 'P -1'
_symmetry_Int_Tables_number 2
_cell_length_a 6.3659
_cell_length_b 7.0770
_cell_length_c 13.6616
_cell_angle_alpha 84.51
_cell_angle_beta 86.88
_cell_angle_gamma 82.21
loop_
_symmetry_equiv_pos_as_xyz
'x,y,z'
'-x,-y,-z'
loop_
_atom_site_label
_atom_site_type_symbol
_atom_site_fract_x
_atom_site_fract_y
_atom_site_fract_z
_atom_site_occupancy
Ac1 Ac 0.2238 0.4977 0.1194 1
Ac2 Ac 0.2639 0.9411 0.6181 1
In1 In 0.0000 0.5000 0.5000 1
In2 In 0.5000 0.0000 0.0000 1
Au1 Au 0.0070 0.0796 0.8146 1
Au2 Au 0.0548 0.1787 0.0198 1
Au3 Au 0.0892 0.4052 0.6935 1
Au4 Au 0.1927 0.2316 0.3600 1
Au5 Au 0.2209 0.8255 0.3725 1
Au6 Au 0.2810 0.7116 0.8506 1
Au7 Au 0.3381 0.3085 0.8697 1
Au8 Au 0.3987 0.0397 0.2001 1
Au9 Au 0.4228 0.3211 0.5215 1
Au10 Au 0.4972 0.5113 0.6913 1
```

## Properties
Energy relative to the elements: -0.42 eV per atom



# 10
Below is a relaxed structure of ZnBAsS2, with properties calculated at the GGA-PBE level.

```
data_ZnBAsS2
_chemical_formula_sum 'Zn1 B1 As1 S2'
_symmetry_space_group_name_H-M 'P 4/m m m'
_symmetry_Int_Tables_number 123
_symmetry_space_group_name_Hall '-P 4 2'
_cell_length_a 4.4066
_cell_length_b 4.4066
_cell_length_c 4.0252
_cell_angle_alpha 90.00
_cell_angle_beta 90.00
_cell_angle_gamma 90.00
loop_
_atom_site_label
_atom_site_type_symbol
_atom_site_fract_x
_atom_site_fract_y
_atom_site_fract_z
_atom_site_occupancy
Zn1 Zn 0.0000 0.0000 0.0000 1
B1 B 0.0000 0.0000 0.5000 1
As1 As 0.5000 0.5000 0.0000 1
S1 S 0.0000 0.5000 0.5000 1
```

## Properties
Formation energy without anion corrections: 67.80 kJ per mole of atoms



# 11
Below is a relaxed structure of Ca3NdTl4, with properties calculated at the GGA-PBE level.

```
data_Ca3NdTl4
_chemical_formula_sum 'Ca3 Nd1 Tl4'
_symmetry_space_group_name_H-M 'P 4/m m m'
_symmetry_Int_Tables_number 123
_symmetry_space_group_name_Hall '-P 4 2'
_cell_length_a 3.8620
_cell_length_b 3.8620
_cell_length_c 15.7920
_cell_angle_alpha 90.00
_cell_angle_beta 90.00
_cell_angle_gamma 90.00
loop_
_atom_site_label
_atom_site_type_symbol
_atom_site_fract_x
_atom_site_fract_y
_atom_site_fract_z
_atom_site_occupancy
Ca1 Ca 0.0000 0.0000 0.0000 1
Ca2 Ca 0.0000 0.0000 0.2472 1
Nd1 Nd 0.0000 0.0000 0.5000 1
Tl1 Tl 0.5000 0.5000 0.1243 1
Tl2 Tl 0.5000 0.5000 0.3715 1
```

## Properties
Energy relative to the elements: -0.43 eV per atom



# 12
Below is a relaxed structure of Na2DyHg4, with properties calculated at the GGA-PBE level.

```
data_Na2DyHg4
_chemical_formula_sum 'Na4 Dy2 Hg8'
_symmetry_space_group_name_H-M 'C 1 2/m 1'
_symmetry_Int_Tables_number 12
_cell_length_a 8.6050
_cell_length_b 5.2574
_cell_length_c 9.4368
_cell_angle_alpha 90.00
_cell_angle_beta 99.41
_cell_angle_gamma 90.00
loop_
_symmetry_equiv_pos_as_xyz
'x,y,z'
'-x,-y,-z'
'-x,y,-z'
'x,-y,z'
'x+1/2,y+1/2,z'
'-x+1/2,-y+1/2,-z'
'-x+1/2,y+1/2,-z'
'x+1/2,-y+1/2,z'
loop_
_atom_site_label
_atom_site_type_symbol
_atom_site_fract_x
_atom_site_fract_y
_atom_site_fract_z
_atom_site_occupancy
Na1 Na 0.1569 0.0000 0.3986 1
Dy1 Dy 0.0000 0.5000 0.0000 1
Hg1 Hg 0.1717 0.0000 0.0812 1
Hg2 Hg 0.2056 0.0000 0.7383 1
```

## Properties
Energy relative to the elements: -0.15 eV per atom



Number 1: electronic total energy -11.90 eV per atom. Number 2: electronic total energy -3.30 eV per atom. Number 3: electronic total energy -6.31 eV per atom. Number 4: electronic total energy -4.26 eV per atom. Number 5: electronic total energy -6.34 eV per atom. Number 6: electronic total energy -8.58 eV per atom. Number 7: electronic total energy -5.69 eV per atom. Number 8: electronic total energy -3.37 eV per atom. Number 9: electronic total energy -3.79 eV per atom. Number 10: electronic total energy -3.47 eV per atom. Number 11: electronic total energy -2.96 eV per atom. Number 12: electronic total energy -1.36 eV per atom.